No. 1
Density functional theory data (GGA-PBE) for crystalline BaCdHg2Pd at its relaxed geometry. Values from VASP.

Cell and atoms, written as Quantum ESPRESSO input:
```
&SYSTEM
  ibrav = 0, nat = 5, ntyp = 4
/
ATOMIC_SPECIES
Ba 137.33 Ba.upf
Cd 112.41 Cd.upf
Hg 200.59 Hg.upf
Pd 106.42 Pd.upf
CELL_PARAMETERS angstrom
5.352 0.000 0.000
0.000 5.352 0.000
0.000 0.000 5.222
ATOMIC_POSITIONS crystal
Ba 0.000 0.000 0.000
Cd 0.500 0.500 0.000
Hg 0.000 0.500 0.500
Hg 0.500 0.000 0.500
Pd 0.500 0.500 0.500
```

Results
The calculation puts the formation energy at -0.34 eV/atom. As for the symmetry: P4/mmm (123). The spin magnetization comes out at 0.00 μB/cell. Its energy above the lowest structure with this stoichiometry is 0.070 eV per atom.

***

No. 2
Density functional theory data (GGA-PBE) for crystalline BaPmCdHg at its relaxed geometry. Values from VASP.

Cell and atoms, written as Quantum ESPRESSO input:
```
&SYSTEM
  ibrav = 0, nat = 16, ntyp = 4
/
ATOMIC_SPECIES
Ba 137.33 Ba.upf
Pm 145.00 Pm.upf
Cd 112.41 Cd.upf
Hg 200.59 Hg.upf
CELL_PARAMETERS angstrom
8.035 0.000 0.000
0.000 8.035 0.000
0.000 0.000 8.035
ATOMIC_POSITIONS crystal
Ba 0.000 0.000 0.000
Ba 0.000 0.500 0.500
Ba 0.500 0.000 0.500
Ba 0.500 0.500 0.000
Pm 0.000 0.000 0.500
Pm 0.000 0.500 0.000
Pm 0.500 0.000 0.000
Pm 0.500 0.500 0.500
Cd 0.250 0.250 0.250
Cd 0.250 0.750 0.750
Cd 0.750 0.250 0.750
Cd 0.750 0.750 0.250
Hg 0.250 0.250 0.750
Hg 0.250 0.750 0.250
Hg 0.750 0.250 0.250
Hg 0.750 0.750 0.750
```

Results
The calculation puts the formation energy at -0.31 eV/atom. As for the symmetry: F-43m (216). The spin magnetization comes out at 0.00 μB/cell.

***

No. 3
Density functional theory data (GGA-PBE) for crystalline Ba2PmCd3Hg12 at its relaxed geometry. Values from VASP.

Cell and atoms, written as Quantum ESPRESSO input:
```
&SYSTEM
  ibrav = 0, nat = 18, ntyp = 4
/
ATOMIC_SPECIES
Ba 137.33 Ba.upf
Pm 145.00 Pm.upf
Cd 112.41 Cd.upf
Hg 200.59 Hg.upf
CELL_PARAMETERS angstrom
3.599 2.078 12.445
-3.599 2.078 12.445
0.000 -4.156 12.445
ATOMIC_POSITIONS crystal
Ba 0.136 0.136 0.136
Ba 0.864 0.864 0.864
Pm 0.500 0.500 0.500
Cd 0.000 0.500 0.500
Cd 0.500 0.000 0.500
Cd 0.500 0.500 0.000
Hg 0.088 0.621 0.621
Hg 0.092 0.092 0.659
Hg 0.092 0.659 0.092
Hg 0.341 0.908 0.908
Hg 0.379 0.379 0.912
Hg 0.379 0.912 0.379
Hg 0.621 0.088 0.621
Hg 0.621 0.621 0.088
Hg 0.659 0.092 0.092
Hg 0.908 0.341 0.908
Hg 0.908 0.908 0.341
Hg 0.912 0.379 0.379
```

Results
The calculation puts the formation energy at -0.17 eV/atom. As for the symmetry: R-3m (166). The spin magnetization comes out at 0.00 μB/cell.